{"formula": "Ti4InRu5", "functional": "PBE", "state": "optimized geometry", "formation_energy_mev_per_atom": -636, "dos_at_fermi_per_ev_cell": 2.67, "cell": [[-2.6880, -1.0036, 1.1798], [-0.2982, -1.9835, -2.3667], [7.6810, -10.9359, 8.1978]], "species": ["Ru", "Ru", "Ru", "Ru", "Ru", "Ti", "Ti", "Ti", "Ti", "In"], "fractional_positions": [[0.5000, 0.5000, 0.8853], [0.5000, 0.5000, 0.1147], [0.5000, 0.5000, 0.5000], [0.5000, 0.5000, 0.3063], [0.5000, 0.5000, 0.6937], [0.0000, 0.0000, 0.7971], [0.0000, 0.0000, 0.4009], [0.0000, 0.0000, 0.5991], [0.0000, 0.0000, 0.2029], [0.0000, 0.0000, 0.0000]]}